(1)
# Tb2ErAu4 | Alexandria | PBE | optimized geometry
data_Tb2ErAu4
_chemical_formula_sum 'Tb4 Er2 Au8'
_cell_length_a 5.1666
_cell_length_b 5.1666
_cell_length_c 12.8978
_cell_angle_alpha 90.00
_cell_angle_beta 90.00
_cell_angle_gamma 90.00
_symmetry_space_group_name_H-M 'I 4/m m m'
_symmetry_Int_Tables_number 139
_symmetry_space_group_name_Hall '-I 4 2'
loop_
_atom_site_label
_atom_site_fract_x
_atom_site_fract_y
_atom_site_fract_z
_atom_site_occupancy
Tb1 0.0000 0.0000 0.2258 1
Er1 0.0000 0.0000 0.5000 1
Au1 0.0000 0.5000 0.1186 1
# Fermi-level density of states	5.2	states/eV/f.u.
# total magnetization	0.000	μB per atom
# total energy	-63.8	eV per cell


(2)
# Tl2CdSe2 | Alexandria | PBE | optimized geometry
data_Tl2CdSe2
_chemical_formula_sum 'Tl4 Cd2 Se4'
_cell_length_a 8.4111
_cell_length_b 8.4111
_cell_length_c 3.8727
_cell_angle_alpha 90.00
_cell_angle_beta 90.00
_cell_angle_gamma 90.00
_symmetry_space_group_name_H-M 'P 4/m b m'
_symmetry_Int_Tables_number 127
_symmetry_space_group_name_Hall '-P 4 2ab'
loop_
_atom_site_label
_atom_site_fract_x
_atom_site_fract_y
_atom_site_fract_z
_atom_site_occupancy
Tl1 0.1468 0.3532 0.0000 1
Cd1 0.0000 0.0000 0.0000 1
Se1 0.1547 0.6547 0.5000 1
# relative energy among the computed polymorphs	0.417	eV/atom
# Fermi-level density of states	3.9	states/eV/f.u.
# total magnetization	0.000	μB per atom


(3)
# NdDy5Sc | Alexandria | PBE | optimized geometry
data_NdDy5Sc
_chemical_formula_sum 'Nd2 Dy10 Sc2'
_cell_length_a 9.2262
_cell_length_b 3.5650
_cell_length_c 13.7253
_cell_angle_alpha 90.00
_cell_angle_beta 103.07
_cell_angle_gamma 90.00
_symmetry_space_group_name_H-M 'P 1 21/m 1'
_symmetry_Int_Tables_number 11
loop_
_symmetry_equiv_pos_as_xyz
'x,y,z'
'-x,-y,-z'
'-x,y+1/2,-z'
'x,-y+1/2,z'
loop_
_atom_site_label
_atom_site_fract_x
_atom_site_fract_y
_atom_site_fract_z
_atom_site_occupancy
Nd1 0.1112 0.2500 0.1338 1
Dy1 0.0087 0.7500 0.3739 1
Dy2 0.2032 0.2500 0.8822 1
Dy3 0.3318 0.2500 0.5070 1
Dy4 0.3491 0.7500 0.7204 1
Dy5 0.4177 0.7500 0.0825 1
Sc1 0.3510 0.7500 0.3073 1
# Fermi-level density of states	11.4	states/eV/f.u.
# total magnetization	0.000	μB per atom
# total energy	-67.3	eV per cell


(4)
# MgMoPb4 | Alexandria | PBE | optimized geometry
data_MgMoPb4
_chemical_formula_sum 'Mg4 Mo4 Pb16'
_cell_length_a 8.9978
_cell_length_b 8.9978
_cell_length_c 8.9978
_cell_angle_alpha 90.00
_cell_angle_beta 90.00
_cell_angle_gamma 90.00
_symmetry_space_group_name_H-M 'F -4 3 m'
_symmetry_Int_Tables_number 216
_symmetry_space_group_name_Hall 'F -4 2 3'
loop_
_atom_site_label
_atom_site_fract_x
_atom_site_fract_y
_atom_site_fract_z
_atom_site_occupancy
Mg1 0.0000 0.0000 0.0000 1
Mo1 0.2500 0.2500 0.7500 1
Pb1 0.1243 0.1243 0.3757 1
# Fermi-level density of states	3.2	states/eV/f.u.
# total magnetization	0.610	μB per atom
# total energy	-90.1	eV per cell